No. 1
Material: YGe2OsSe
Method: DFT, PBE
State: relaxed

Cell lengths 4.8048, 5.2137, 4.8048 Å; angles 90.00, 90.00, 90.00 degrees
Element x y z (fractional)
Ge  0.0000  0.0000  0.5000
Ge  0.5000  0.0000  0.0000
Y  0.0000  0.5000  0.0000
Os  0.5000  0.5000  0.5000
Se  0.0000  0.0000  0.0000

* uncorrected formation energy: 1.014 eV per atom
* DOS at the Fermi energy: 3.4 states/eV/f.u.
* space-group type: P4/mmm
* calculated volume: 120 Å³/cell

---

No. 2
Material: Si2GeOs2
Method: DFT, PBE
State: relaxed

Cell lengths 7.1463, 7.1463, 2.8521 Å; angles 90.00, 90.00, 90.00 degrees
Element x y z (fractional)
Ge  0.5000  0.5000  0.0000
Ge  0.0000  0.0000  0.0000
Os  0.6526  0.1526  0.0000
Os  0.8474  0.6526  0.0000
Os  0.3474  0.8474  0.0000
Os  0.1526  0.3474  0.0000
Si  0.8597  0.3597  0.5000
Si  0.1403  0.6403  0.5000
Si  0.3597  0.1403  0.5000
Si  0.6403  0.8597  0.5000

* uncorrected formation energy: -0.037 eV per atom
* DOS at the Fermi energy: 2.7 states/eV/f.u.
* space-group type: P4/mbm
* calculated volume: 146 Å³/cell

---

No. 3
Material: SiGeOs3
Method: DFT, PBE
State: relaxed

Cell lengths 4.5024, 4.5024, 4.5024 Å; angles 90.00, 90.00, 90.00 degrees
Element x y z (fractional)
Os  0.0000  0.0000  0.5000
Os  0.0000  0.5000  0.0000
Os  0.5000  0.0000  0.0000
Ge  0.0000  0.0000  0.0000
Si  0.5000  0.5000  0.5000

* uncorrected formation energy: 1.919 eV per atom
* energy above the lowest structure with this stoichiometry: 0.604 eV per atom
* DOS at the Fermi energy: 6.4 states/eV/f.u.
* space-group type: Pm-3m
* calculated volume: 91 Å³/cell

---

No. 4
Material: Si2Ge2Os
Method: DFT, PBE
State: relaxed

Cell lengths 6.2294, 6.2294, 4.3249 Å; angles 90.00, 90.00, 90.00 degrees
Element x y z (fractional)
Ge  0.8213  0.3213  0.5000
Ge  0.3213  0.1787  0.5000
Ge  0.1787  0.6787  0.5000
Ge  0.6787  0.8213  0.5000
Os  0.0000  0.0000  0.0000
Os  0.5000  0.5000  0.0000
Si  0.1374  0.3626  0.0000
Si  0.8626  0.6374  0.0000
Si  0.6374  0.1374  0.0000
Si  0.3626  0.8626  0.0000

* uncorrected formation energy: 0.321 eV per atom
* energy above the lowest structure with this stoichiometry: 0.000 eV per atom
* DOS at the Fermi energy: 1.1 states/eV/f.u.
* space-group type: P4/mbm
* calculated volume: 168 Å³/cell

---

No. 5
Material: Si2Ge2Os
Method: DFT, PBE
State: relaxed

Cell lengths 3.3112, 3.3112, 8.1475 Å; angles 78.28, 78.28, 90.00 degrees
Element x y z (fractional)
Ge  0.7500  0.2500  0.5000
Ge  0.2500  0.7500  0.5000
Os  0.0000  0.0000  0.0000
Si  0.4155  0.4155  0.1689
Si  0.5845  0.5845  0.8311

* uncorrected formation energy: 0.656 eV per atom
* energy above the lowest structure with this stoichiometry: 0.335 eV per atom
* DOS at the Fermi energy: 3.9 states/eV/f.u.
* space-group type: I4/mmm
* calculated volume: 86 Å³/cell

---

No. 6
Material: SiGe3Os
Method: DFT, PBE
State: relaxed

Cell lengths 4.7974, 4.7974, 4.7974 Å; angles 90.00, 90.00, 90.00 degrees
Element x y z (fractional)
Ge  0.0000  0.0000  0.5000
Ge  0.0000  0.5000  0.0000
Ge  0.5000  0.0000  0.0000
Os  0.0000  0.0000  0.0000
Si  0.5000  0.5000  0.5000

* uncorrected formation energy: 0.689 eV per atom
* energy above the lowest structure with this stoichiometry: 0.000 eV per atom
* DOS at the Fermi energy: 5.7 states/eV/f.u.
* space-group type: Pm-3m
* calculated volume: 110 Å³/cell

---

No. 7
Material: SiGe2Os
Method: DFT, PBE
State: relaxed

Cell lengths 4.4334, 4.4334, 4.4334 Å; angles 60.00, 60.00, 60.00 degrees
Element x y z (fractional)
Ge  0.2500  0.2500  0.2500
Ge  0.7500  0.7500  0.7500
Si  0.0000  0.0000  0.0000
Os  0.5000  0.5000  0.5000

* uncorrected formation energy: 0.477 eV per atom
* energy above the lowest structure with this stoichiometry: 0.000 eV per atom
* DOS at the Fermi energy: 0.8 states/eV/f.u.
* space-group type: Fm-3m
* calculated volume: 62 Å³/cell

---

No. 8
Material: SiGe2Os
Method: DFT, PBE
State: relaxed

Cell lengths 5.5781, 5.5781, 6.9044 Å; angles 66.17, 66.17, 90.00 degrees
Element x y z (fractional)
Ge  0.3750  0.3669  0.7500
Ge  0.1169  0.6250  0.2500
Ge  0.8750  0.8831  0.7500
Ge  0.6331  0.1250  0.2500
Os  0.7500  0.2500  0.5000
Os  0.0000  0.0000  0.0000
Si  0.5000  0.5000  0.0000
Si  0.2500  0.7500  0.5000

* uncorrected formation energy: 0.571 eV per atom
* energy above the lowest structure with this stoichiometry: 0.093 eV per atom
* DOS at the Fermi energy: 0.1 states/eV/f.u.
* space-group type: I-42d
* calculated volume: 176 Å³/cell

---

No. 9
Material: Si3GeOs
Method: DFT, PBE
State: relaxed

Cell lengths 4.6584, 4.6584, 4.6584 Å; angles 90.00, 90.00, 90.00 degrees
Element x y z (fractional)
Ge  0.5000  0.5000  0.5000
Si  0.5000  0.0000  0.0000
Si  0.0000  0.0000  0.5000
Si  0.0000  0.5000  0.0000
Os  0.0000  0.0000  0.0000

* uncorrected formation energy: 0.612 eV per atom
* energy above the lowest structure with this stoichiometry: 0.000 eV per atom
* DOS at the Fermi energy: 6.6 states/eV/f.u.
* space-group type: Pm-3m
* calculated volume: 101 Å³/cell

---

No. 10
Material: SiGeOs3
Method: DFT, PBE
State: relaxed

Cell lengths 4.4195, 4.4195, 4.4195 Å; angles 90.00, 90.00, 90.00 degrees
Element x y z (fractional)
Ge  0.5000  0.5000  0.5000
Os  0.0000  0.0000  0.5000
Os  0.0000  0.5000  0.0000
Os  0.5000  0.0000  0.0000
Si  0.0000  0.0000  0.0000

* uncorrected formation energy: 1.315 eV per atom
* energy above the lowest structure with this stoichiometry: 0.000 eV per atom
* DOS at the Fermi energy: 7.7 states/eV/f.u.
* space-group type: Pm-3m
* calculated volume: 86 Å³/cell

---

No. 11
Material: SiGe3Os
Method: DFT, PBE
State: relaxed

Cell lengths 4.6386, 4.6386, 4.6386 Å; angles 90.00, 90.00, 90.00 degrees
Element x y z (fractional)
Ge  0.0000  0.0000  0.5000
Ge  0.0000  0.5000  0.0000
Ge  0.5000  0.0000  0.0000
Os  0.5000  0.5000  0.5000
Si  0.0000  0.0000  0.0000

* uncorrected formation energy: 1.389 eV per atom
* energy above the lowest structure with this stoichiometry: 0.700 eV per atom
* DOS at the Fermi energy: 4.6 states/eV/f.u.
* space-group type: Pm-3m
* calculated volume: 100 Å³/cell

---

No. 12
Material: ThSiGe2Os2
Method: DFT, PBE
State: relaxed

Cell lengths 4.4894, 4.4894, 5.6629 Å; angles 90.00, 90.00, 90.00 degrees
Element x y z (fractional)
Th  0.0000  0.0000  0.5000
Ge  0.5000  0.5000  0.2733
Ge  0.5000  0.5000  0.7267
Si  0.0000  0.0000  0.0000
Os  0.0000  0.5000  0.0000
Os  0.5000  0.0000  0.0000

* uncorrected formation energy: 0.043 eV per atom
* DOS at the Fermi energy: 4.6 states/eV/f.u.
* space-group type: P4/mmm
* calculated volume: 114 Å³/cell

---

Quick rundown of magnetic moment, same order as above: 0.00, 0.00, 0.00, 0.00, 0.00, 0.00, 0.00, 0.00, 0.00, 0.21, 0.29, 0.00 μB per atom